# MoIrO2F

An optimized crystal structure of MoIrO2F (PBE+U, the Alexandria database).

Properties
SG   P4/mmm
Density of states at the Fermi level   0.73 states/eV per atom
Total DFT energy (no corrections)   -5.9576 eV/atom

Geometry as CIF:
```
data_MoIrO2F
_chemical_formula_sum 'Mo1 Ir1 O2 F1'
_symmetry_space_group_name_H-M 'P 1'
_symmetry_Int_Tables_number 1
_cell_length_a 3.7029
_cell_length_b 3.7029
_cell_length_c 6.2854
_cell_angle_alpha 90.00
_cell_angle_beta 90.00
_cell_angle_gamma 90.00
loop_
_symmetry_equiv_pos_as_xyz
'x,y,z'
loop_
_atom_site_label
_atom_site_type_symbol
_atom_site_fract_x
_atom_site_fract_y
_atom_site_fract_z
Mo1 Mo 0.0000 0.0000 0.0000
Ir1 Ir 0.5000 0.5000 0.5000
O1 O 0.0000 0.5000 0.5000
O2 O 0.5000 0.0000 0.5000
F1 F 0.5000 0.5000 0.0000
```